Here is a relaxed structure of Al2W from Alexandria via LeMat-Bulk. Energies are from PBE.

Cell: 6.103 6.103 6.103 Å, 90.00 90.00 90.00°
Space group Fm-3m (No. 225)
Asymmetric unit:
Al1 0.250 0.250 0.250
W1 0.000 0.000 0.000

Calculated values
density of states at the Fermi level = 14.345 states/eV per cell
energy = -74.0 eV per cell
E_form = 62 kJ per mole of atoms
total moment = 0.29 μB/f.u.
volume = 227.33 Å³/cell



Here is a relaxed structure of AlW2 from Alexandria via LeMat-Bulk. Energies are from PBE.

Cell: 4.5560 4.5560 5.5305 Å, 90.00 90.00 120.00°
Space group P6_3/mmc (No. 194)
Asymmetric unit:
Al1 0.0000 0.0000 0.2500
W1 0.3333 0.6667 0.0231

Calculated values
density of states at the Fermi level = 4.231 states/eV per cell
energy = -57.2 eV per cell
E_form = 35 kJ per mole of atoms
total moment = 0.00 μB/f.u.
volume = 99.42 Å³/cell



Here is a relaxed structure of AlW3 from Alexandria via LeMat-Bulk. Energies are from PBE.

Cell: 8.9172 8.9172 2.7496 Å, 90.00 90.00 120.00°
Space group R-3m (No. 166, hexagonal axes)
Asymmetric unit:
Al1 0.0000 0.0000 0.0000
W1 0.0000 0.5000 0.0000

Calculated values
density of states at the Fermi level = 7.683 states/eV per cell
energy = -127.1 eV per cell
E_form = 6 kJ per mole of atoms
total moment = 0.00 μB/f.u.
volume = 189.35 Å³/cell



Here is a relaxed structure of AlW from Alexandria via LeMat-Bulk. Energies are from PBE.

Cell: 2.734 4.732 4.891 Å, 90.00 90.00 90.00°
Space group Pmmn (No. 59, origin choice 2)
Asymmetric unit:
Al1 0.250 0.250 0.085
W1 0.250 0.750 0.402

Calculated values
density of states at the Fermi level = 2.855 states/eV per cell
energy = -33.0 eV per cell
E_form = 10 kJ per mole of atoms
total moment = 0.00 μB/f.u.
volume = 63.27 Å³/cell



Here is a relaxed structure of AlW2 from Alexandria via LeMat-Bulk. Energies are from PBE.

Cell: 2.698 2.698 26.622 Å, 90.00 90.00 90.00°
Space group I4_1/amd (No. 141, origin choice 2)
Asymmetric unit:
Al1 0.000 0.250 0.375
W1 0.000 0.250 0.797

Calculated values
density of states at the Fermi level = 6.058 states/eV per cell
energy = -114.2 eV per cell
E_form = 36 kJ per mole of atoms
total moment = 0.00 μB/f.u.
volume = 193.79 Å³/cell



Here is a relaxed structure of AlW5 from Alexandria via LeMat-Bulk. Energies are from PBE.

Cell: 3.193 13.388 4.480 Å, 90.00 90.00 90.00°
Space group Cmmm (No. 65)
Asymmetric unit:
Al1 0.000 0.000 0.000
W1 0.000 0.162 0.500
W2 0.000 0.329 0.000
W3 0.000 0.500 0.500

Calculated values
density of states at the Fermi level = 5.081 states/eV per cell
energy = -136.7 eV per cell
E_form = 3 kJ per mole of atoms
total moment = 0.00 μB/f.u.
E above lowest polymorph = 0.0000 eV/atom
volume = 191.49 Å³/cell



Here is a relaxed structure of Al2W from Alexandria via LeMat-Bulk. Energies are from PBE.

Cell: 7.7572 7.7572 2.7226 Å, 90.00 90.00 120.00°
Space group P-62m (No. 189)
Asymmetric unit:
Al1 0.0000 0.3001 0.0000
Al2 0.0000 0.6345 0.5000
W1 0.0000 0.0000 0.5000
W2 0.3333 0.6667 0.0000

Calculated values
density of states at the Fermi level = 5.734 states/eV per cell
energy = -60.4 eV per cell
E_form = 10 kJ per mole of atoms
total moment = 0.00 μB/f.u.
volume = 141.88 Å³/cell



Here is a relaxed structure of Al3W5 from Alexandria via LeMat-Bulk. Energies are from PBE.

Cell: 7.5281 7.5281 5.0889 Å, 90.00 90.00 120.00°
Space group P6_3/mcm (No. 193)
Asymmetric unit:
Al1 0.0000 0.4041 0.2500
W1 0.0000 0.2235 0.7500
W2 0.3333 0.6667 0.0000

Calculated values
density of states at the Fermi level = 9.952 states/eV per cell
energy = -149.7 eV per cell
E_form = 14 kJ per mole of atoms
total moment = 0.00 μB/f.u.
E above lowest polymorph = 0.1106 eV/atom
volume = 249.76 Å³/cell



Here is a relaxed structure of AlW from Alexandria via LeMat-Bulk. Energies are from PBE.

Cell: 3.429 4.312 8.400 Å, 90.00 90.00 90.00°
Space group Imma (No. 74)
Asymmetric unit:
Al1 0.000 0.250 0.122
W1 0.000 0.250 0.631

Calculated values
density of states at the Fermi level = 4.385 states/eV per cell
energy = -66.7 eV per cell
E_form = 1 kJ per mole of atoms
total moment = 0.00 μB/f.u.
volume = 124.19 Å³/cell



Here is a relaxed structure of AlW from Alexandria via LeMat-Bulk. Energies are from PBE.

Cell: 2.8311 2.8311 27.6800 Å, 90.00 90.00 120.00°
Space group R-3m (No. 166, hexagonal axes)
Asymmetric unit:
Al1 0.0000 0.0000 0.1249
W1 0.0000 0.0000 0.3768

Calculated values
density of states at the Fermi level = 8.285 states/eV per cell
energy = -98.7 eV per cell
E_form = 11 kJ per mole of atoms
total moment = 0.00 μB/f.u.
volume = 192.14 Å³/cell



Here is a relaxed structure of Al2W from Alexandria via LeMat-Bulk. Energies are from PBE.

Cell: 11.055 2.729 6.914 Å, 90.00 111.37 90.00°
Space group C2/m (No. 12)
Asymmetric unit:
Al1 0.046 0.000 0.308
Al2 0.182 0.500 0.668
W1 0.129 0.500 0.022

Calculated values
density of states at the Fermi level = 5.602 states/eV per cell
energy = -80.9 eV per cell
E_form = 7 kJ per mole of atoms
total moment = 0.00 μB/f.u.
volume = 194.27 Å³/cell



Here is a relaxed structure of Al3W from Alexandria via LeMat-Bulk. Energies are from PBE.

Cell: 2.8693 2.8693 26.9815 Å, 90.00 90.00 120.00°
Space group R-3m (No. 166, hexagonal axes)
Asymmetric unit:
Al1 0.0000 0.0000 0.0000
Al2 0.0000 0.0000 0.2481
W1 0.0000 0.0000 0.5000

Calculated values
density of states at the Fermi level = 5.342 states/eV per cell
energy = -72.3 eV per cell
E_form = 2 kJ per mole of atoms
total moment = 0.00 μB/f.u.
volume = 192.37 Å³/cell



What did the eleventh record say?
Here is a relaxed structure of Al2W from Alexandria via LeMat-Bulk. Energies are from PBE.

Cell: 11.055 2.729 6.914 Å, 90.00 111.37 90.00°
Space group C2/m (No. 12)
Asymmetric unit:
Al1 0.046 0.000 0.308
Al2 0.182 0.500 0.668
W1 0.129 0.500 0.022

Calculated values
density of states at the Fermi level = 5.602 states/eV per cell
energy = -80.9 eV per cell
E_form = 7 kJ per mole of atoms
total moment = 0.00 μB/f.u.
volume = 194.27 Å³/cell



> Look up the total moment of the eighth one.

0.00 μB/f.u.



> volume of number 4 (AlW)?

63.27 Å³/cell



> What is the total moment in the fourth record?

0.00 μB/f.u.